{
  "formula": "MnVCr",
  "functional": "PBE-GGA",
  "state": "relaxed",
  "m_tot_mub_per_atom": 0.000,
  "formation_energy_mev_per_atom": -83,
  "e_above_lowest_polymorph_mev_per_atom": 70,
  "final_energy_ev_per_cell": -28.16,
  "space_group": "P3m1 (156)",
  "lattice": [[4.0268, 0.0000, 0.0000], [-2.0134, 3.4873, 0.0000], [0.0000, 0.0000, 2.5186]],
  "species": ["Mn", "V", "Cr"],
  "frac_coords": [[0.0000, 0.0000, 0.0000], [0.6667, 0.3333, 0.3359], [0.3333, 0.6667, 0.6720]]
}